--- A ---
Density functional theory data (PBEsol) for a relaxed structure of CdHPt3.

Cell and atoms, written as POSCAR:
```
CdHPt3
1.0
4.036 0.000 0.000
0.000 4.036 0.000
0.000 0.000 4.036
Cd H Pt
1 1 3
Cartesian
0.000 0.000 0.000
2.018 2.018 2.018
0.000 2.018 2.018
2.018 0.000 2.018
2.018 2.018 0.000
```

- volume (Å³/cell) = 65.7
- space-group type = Pm-3m

---

--- B ---
Density functional theory data (PBEsol) for a relaxed structure of CdHPt3.

Cell and atoms, written as POSCAR:
```
CdHPt3
1.0
2.865 1.654 2.328
-2.865 1.654 2.328
0.000 -3.308 2.328
Cd H Pt
1 1 3
Cartesian
0.000 0.000 0.000
0.000 0.000 2.994
0.000 -1.618 4.634
-1.401 0.809 4.634
1.401 0.809 4.634
```

- volume (Å³/cell) = 66.2
- space-group type = R3m

---

Which one sits at the top of the stability order? B does.

---

--- A ---
Density functional theory data (PBEsol) for a relaxed structure of Cd2SiH2.

Cell and atoms, written as POSCAR:
```
Cd2SiH2
1.0
-2.319 2.319 3.194
2.319 -2.319 3.194
2.319 2.319 -3.194
Cd Si H
2 1 2
Cartesian
2.319 0.000 1.597
0.000 2.319 1.597
0.000 0.000 0.000
0.000 0.000 2.803
0.000 0.000 3.585
```

- volume (Å³/cell) = 68.7
- space-group type = I4/mmm

---

--- B ---
Density functional theory data (PBEsol) for a relaxed structure of Cd2SiH2.

Cell and atoms, written as POSCAR:
```
Cd2SiH2
1.0
5.383 0.000 0.000
0.000 5.383 0.000
0.000 0.000 4.865
Cd Si H
4 2 4
Cartesian
0.985 1.707 0.000
1.707 4.398 0.000
3.676 0.985 0.000
4.398 3.676 0.000
0.000 0.000 2.433
2.691 2.691 2.433
1.211 1.481 2.433
1.481 4.172 2.433
3.902 1.211 2.433
4.172 3.902 2.433
```

- volume (Å³/cell) = 141.0
- space-group type = P4/mbm

---

Which one sits at the top of the stability order? A does.

---

--- A ---
Density functional theory data (PBEsol) for a relaxed structure of CdHg3.

Cell and atoms, written as POSCAR:
```
CdHg3
1.0
4.453 0.000 0.000
0.000 4.453 0.000
0.000 0.000 4.453
Cd Hg
1 3
Cartesian
0.000 0.000 0.000
0.000 2.227 2.227
2.227 0.000 2.227
2.227 2.227 0.000
```

- volume (Å³/cell) = 88.3
- space-group type = Pm-3m

---

--- B ---
Density functional theory data (PBEsol) for a relaxed structure of CdHg3.

Cell and atoms, written as POSCAR:
```
CdHg3
1.0
6.240 0.000 0.000
0.000 9.197 0.000
0.000 0.000 6.357
Cd Hg
4 12
Cartesian
0.526 2.299 0.765
2.595 6.898 3.944
3.646 2.299 2.413
5.715 6.898 5.592
0.230 2.299 3.943
1.447 4.670 5.541
1.447 9.126 5.541
1.673 0.071 2.362
1.673 4.528 2.362
2.890 6.898 0.764
3.351 2.299 5.593
4.567 4.670 3.995
4.567 9.126 3.995
4.793 0.071 0.816
4.793 4.528 0.816
6.010 6.898 2.414
```

- volume (Å³/cell) = 364.9
- space-group type = Pnma

---

--- C ---
Density functional theory data (PBEsol) for a relaxed structure of CdHg3.

Cell and atoms, written as POSCAR:
```
CdHg3
1.0
3.167 0.000 0.000
0.000 4.954 0.000
0.000 0.000 5.722
Cd Hg
1 3
Cartesian
0.000 0.000 0.000
0.000 2.477 1.836
1.583 0.000 2.873
1.583 2.477 4.736
```

- volume (Å³/cell) = 89.8
- space-group type = Pmm2

---

--- D ---
Density functional theory data (PBEsol) for a relaxed structure of CdHg3.

Cell and atoms, written as POSCAR:
```
CdHg3
1.0
5.658 0.000 0.000
0.000 5.658 0.000
0.000 0.000 5.658
Cd Hg
2 6
Cartesian
0.000 0.000 0.000
2.829 2.829 2.829
0.000 1.415 2.829
0.000 4.244 2.829
1.415 2.829 0.000
2.829 0.000 1.415
2.829 0.000 4.244
4.244 2.829 0.000
```

- volume (Å³/cell) = 181.2
- space-group type = Pm-3n

---

Which one sits at the top of the stability order? B does.